A plane-wave DFT calculation with PBE with a Hubbard U was carried out for a geometry-optimized AlCrF3 structure.

magnetic moment: 5.2 Bohr magnetons per cell
total DFT energy (no corrections): -5.369 eV/atom
symmetry: Pm-3m
theoretical density: 3.51 g/cm³
relative energy among the computed polymorphs: 0.000 eV per atom
DOS(E_F): 0.74 states/eV/f.u.

```
data_AlCrF3
_cell_length_a 4.007
_cell_length_b 4.007
_cell_length_c 4.007
_cell_angle_alpha 90.00
_cell_angle_beta 90.00
_cell_angle_gamma 90.00
_space_group_name_H-M_alt 'P 1'
_space_group_IT_number 1
_space_group_name_Hall 'P 1'
loop_
_atom_site_label
_atom_site_type_symbol
_atom_site_fract_x
_atom_site_fract_y
_atom_site_fract_z
_atom_site_occupancy
Cr1 Cr 0.500 0.500 0.500 1
Al1 Al 0.000 0.000 0.000 1
F1 F 0.000 0.500 0.000 1
F2 F 0.000 0.000 0.500 1
F3 F 0.500 0.000 0.000 1
```